# 1
Density functional theory data (PBE) for an optimized crystal structure of U2Co3NiAs4.

```
data_U2Co3NiAs4
_chemical_formula_sum 'U2 Co3 Ni1 As4'
_symmetry_space_group_name_H-M 'P -4 m 2'
_symmetry_Int_Tables_number 115
_symmetry_space_group_name_Hall 'P -4 -2'
_cell_length_a 4.116
_cell_length_b 4.116
_cell_length_c 9.269
_cell_angle_alpha 90.00
_cell_angle_beta 90.00
_cell_angle_gamma 90.00
loop_
_atom_site_label
_atom_site_fract_x
_atom_site_fract_y
_atom_site_fract_z
_atom_site_occupancy
U1 0.000 0.500 0.250 1
Co1 0.000 0.000 0.000 1
Co2 0.000 0.500 0.618 1
Ni1 0.500 0.500 0.000 1
As1 0.000 0.000 0.500 1
As2 0.000 0.500 0.866 1
As3 0.500 0.500 0.500 1
```

- formation energy from the elements (eV/atom) = -0.500

# 2
Density functional theory data (PBE) for an optimized crystal structure of TlBiPCl2.

```
data_TlBiPCl2
_chemical_formula_sum 'Tl1 Bi1 P1 Cl2'
_symmetry_space_group_name_H-M 'P 4/m m m'
_symmetry_Int_Tables_number 123
_symmetry_space_group_name_Hall '-P 4 2'
_cell_length_a 5.207
_cell_length_b 5.207
_cell_length_c 5.373
_cell_angle_alpha 90.00
_cell_angle_beta 90.00
_cell_angle_gamma 90.00
loop_
_atom_site_label
_atom_site_fract_x
_atom_site_fract_y
_atom_site_fract_z
_atom_site_occupancy
Tl1 0.000 0.000 0.000 1
Bi1 0.500 0.500 0.500 1
P1 0.000 0.000 0.500 1
Cl1 0.000 0.500 0.000 1
```

- relative energy among the computed polymorphs (meV per atom) = 470
- E_form (uncorrected) (eV/f.u.) = 1.4

# 3
Density functional theory data (PBE) for an optimized crystal structure of Pm5NdAg4.

```
data_Pm5NdAg4
_chemical_formula_sum 'Pm5 Nd1 Ag4'
_symmetry_space_group_name_H-M 'P 4/m m m'
_symmetry_Int_Tables_number 123
_symmetry_space_group_name_Hall '-P 4 2'
_cell_length_a 3.711
_cell_length_b 3.711
_cell_length_c 20.189
_cell_angle_alpha 90.00
_cell_angle_beta 90.00
_cell_angle_gamma 90.00
loop_
_atom_site_label
_atom_site_fract_x
_atom_site_fract_y
_atom_site_fract_z
_atom_site_occupancy
Pm1 0.000 0.000 0.000 1
Pm2 0.000 0.000 0.187 1
Pm3 0.000 0.000 0.373 1
Nd1 0.500 0.500 0.500 1
Ag1 0.500 0.500 0.093 1
Ag2 0.500 0.500 0.281 1
```

- formation energy from the elements (eV/atom) = -0.209

# 4
Density functional theory data (PBE) for an optimized crystal structure of MnFeAsBr2.

```
data_MnFeAsBr2
_chemical_formula_sum 'Mn1 Fe1 As1 Br2'
_symmetry_space_group_name_H-M 'P 4/m m m'
_symmetry_Int_Tables_number 123
_symmetry_space_group_name_Hall '-P 4 2'
_cell_length_a 5.090
_cell_length_b 5.090
_cell_length_c 4.583
_cell_angle_alpha 90.00
_cell_angle_beta 90.00
_cell_angle_gamma 90.00
loop_
_atom_site_label
_atom_site_fract_x
_atom_site_fract_y
_atom_site_fract_z
_atom_site_occupancy
Mn1 0.000 0.000 0.000 1
Fe1 0.500 0.500 0.500 1
As1 0.500 0.500 0.000 1
Br1 0.000 0.500 0.500 1
```

- relative energy among the computed polymorphs (meV per atom) = 0
- E_form (uncorrected) (eV/f.u.) = 2.4

Magnetization for the records above, in order: 0.42, 0.00, 0.00, 1.37 μB per atom